No. 1
Computed, not measured: a relaxed structure of CrTeP2 at the PBE-GGA level of DFT.

* uncorrected formation energy: 0.52 eV per formula unit

abc: 3.083 3.083 7.451
angles: 90.00 90.00 90.00
Atoms (fractional coordinates):
P 0.000 0.000 0.979
P 0.500 0.500 0.133
Cr 0.500 0.500 0.809
Te 0.000 0.000 0.579


No. 2
Computed, not measured: a relaxed structure of AsRhS2 at the PBE-GGA level of DFT.

* uncorrected formation energy: -0.49 eV per formula unit

abc: 7.837 7.837 7.837
angles: 25.60 25.60 25.60
Atoms (fractional coordinates):
Rh 0.500 0.500 0.500
S 0.888 0.888 0.888
S 0.112 0.112 0.112
As 0.000 0.000 0.000


No. 3
Computed, not measured: a relaxed structure of Ca2CdGePd6 at the PBE-GGA level of DFT.

* energy of formation from the pure elements: -0.1923 eV per atom

abc: 6.860 6.860 6.860
angles: 60.00 60.00 90.00
Atoms (fractional coordinates):
Ca 0.250 0.750 0.500
Ca 0.750 0.250 0.500
Ge 0.000 0.000 0.000
Pd 0.238 0.238 0.523
Pd 0.762 0.762 0.000
Pd 0.762 0.762 0.477
Pd 0.238 0.762 0.000
Pd 0.762 0.238 0.000
Pd 0.238 0.238 0.000
Cd 0.500 0.500 0.000


No. 4
Computed, not measured: a relaxed structure of Ba2CaSb at the PBE-GGA level of DFT.

* uncorrected formation energy: -1.95 eV per formula unit

abc: 5.591 5.591 5.170
angles: 90.00 90.00 90.00
Atoms (fractional coordinates):
Ba 0.000 0.000 0.000
Ba 0.500 0.500 0.000
Sb 0.000 0.500 0.500
Ca 0.500 0.000 0.500


No. 5
Computed, not measured: a relaxed structure of ZnCoAsRu at the PBE-GGA level of DFT.

* energy of formation from the pure elements: -0.0341 eV per atom

abc: 4.199 4.199 4.199
angles: 60.00 60.00 60.00
Atoms (fractional coordinates):
As 0.500 0.500 0.500
Ru 0.750 0.750 0.750
Zn 0.000 0.000 0.000
Co 0.250 0.250 0.250


No. 6
Computed, not measured: a relaxed structure of KIn6Hg12 at the PBE-GGA level of DFT.

* ΔE to the lowest computed polymorph: 0.0253 eV/atom
* energy of formation from the pure elements: -0.0180 eV per atom

abc: 8.620 8.620 8.620
angles: 105.63 105.63 105.63
Atoms (fractional coordinates):
Hg 0.110 0.890 0.500
Hg 0.384 0.384 0.146
Hg 0.616 0.854 0.616
Hg 0.500 0.110 0.890
Hg 0.890 0.110 0.500
Hg 0.500 0.890 0.110
Hg 0.616 0.616 0.854
Hg 0.854 0.616 0.616
Hg 0.384 0.146 0.384
Hg 0.146 0.384 0.384
Hg 0.890 0.500 0.110
Hg 0.110 0.500 0.890
In 0.290 0.722 0.290
In 0.290 0.290 0.722
In 0.710 0.278 0.710
In 0.278 0.710 0.710
In 0.722 0.290 0.290
In 0.710 0.710 0.278
K 0.000 0.000 0.000


No. 7
Computed, not measured: a relaxed structure of Mn2HgRh at the PBE-GGA level of DFT.

* energy of formation from the pure elements: 0.2028 eV per atom

abc: 3.775 3.000 6.482
angles: 62.28 90.00 90.00
Site moments in Bohr magnetons follow the coordinates.
Atoms (fractional coordinates):
Rh 0.000 0.537 0.463  0.46
Mn 0.500 0.231 0.269  3.62
Mn 0.000 0.989 0.011  3.66
Hg 0.500 0.744 0.756  -0.02


No. 8
Computed, not measured: a relaxed structure of Tb5Er12Tm2 at the PBE-GGA level of DFT.

* ΔE to the lowest computed polymorph: 0.0000 eV/atom
* energy of formation from the pure elements: 0.0904 eV per atom

abc: 6.421 11.582 11.730
angles: 114.11 81.09 131.36
Atoms (fractional coordinates):
Tm 0.722 0.986 0.039
Tm 0.278 0.014 0.961
Tb 0.187 0.673 0.781
Tb 0.513 0.709 0.196
Tb 0.487 0.291 0.804
Tb 0.813 0.327 0.219
Tb 0.000 0.000 0.500
Er 0.958 0.293 0.922
Er 0.165 0.112 0.268
Er 0.336 0.559 0.459
Er 0.015 0.312 0.638
Er 0.596 0.629 0.870
Er 0.664 0.441 0.541
Er 0.042 0.707 0.078
Er 0.985 0.688 0.362
Er 0.584 0.061 0.362
Er 0.416 0.939 0.638
Er 0.835 0.888 0.732
Er 0.404 0.371 0.130